# 1
Here is a geometry-optimized Rb2SbSe2Br2 structure from Alexandria. Energies are from PBE-GGA.

The structure in POSCAR format:
```
Rb2SbSe2Br2
1.0
5.3879 0.0000 0.0000
0.0000 5.3879 0.0000
-2.6940 -2.6940 8.9415
Rb Sb Br Se
2 1 2 2
direct
0.6397 0.6397 0.2795
0.3603 0.3603 0.7205
0.0000 0.0000 0.0000
0.1629 0.1629 0.3258
0.8371 0.8371 0.6742
0.0000 0.5000 0.0000
0.5000 0.0000 0.0000
```

- Crystal system: tetragonal
- Symmetry: I4/mmm, No. 139
- Density of states at the Fermi level: 1.69 states/eV/cell

# 2
Here is a geometry-optimized Rb2SiSbBr6 structure from Alexandria. Energies are from PBE-GGA.

The structure in POSCAR format:
```
Rb2SiSbBr6
1.0
7.9234 0.0000 0.0000
0.0000 7.9234 0.0000
3.9617 3.9617 5.6217
Sb Br Rb Si
1 6 2 1
direct
0.0000 0.0000 0.0000
0.2590 0.7410 0.0000
0.2590 0.2590 0.4820
0.7410 0.7410 0.0000
0.2590 0.2590 0.0000
0.7410 0.7410 0.5180
0.7410 0.2590 0.0000
0.7500 0.2500 0.5000
0.2500 0.7500 0.5000
0.5000 0.5000 0.0000
```

- Crystal system: tetragonal
- Symmetry: I4/mmm, No. 139
- Density of states at the Fermi level: 4.70 states/eV/cell

# 3
Here is a geometry-optimized Rb2SrSbBr6 structure from Alexandria. Energies are from PBE-GGA.

The structure in POSCAR format:
```
Rb2SrSbBr6
1.0
-5.9189 -5.2160 2.3017
5.7009 -5.4524 2.3041
-0.0580 -2.7655 8.2552
Sr Br Sb Rb
1 6 1 2
direct
0.5000 0.5000 0.0000
0.2410 0.7590 0.0000
0.7590 0.7590 0.0000
0.7300 0.7300 0.5399
0.7590 0.2410 0.0000
0.2700 0.2700 0.4601
0.2410 0.2410 0.0000
0.0000 0.0000 0.0000
0.2500 0.7500 0.5000
0.7500 0.2500 0.5000
```

- Crystal system: tetragonal
- Symmetry: I4/mmm, No. 139
- Density of states at the Fermi level: 0.00 states/eV/cell

# 4
Here is a geometry-optimized RbSb2TeBr structure from Alexandria. Energies are from PBE-GGA.

The structure in POSCAR format:
```
RbSb2TeBr
1.0
5.6762 0.0000 0.0000
0.0000 5.6762 0.0000
0.0000 0.0000 6.0832
Sb Te Br Rb
2 1 1 1
direct
0.0000 0.5000 0.0000
0.5000 0.0000 0.0000
0.0000 0.0000 0.5000
0.0000 0.0000 0.0000
0.5000 0.5000 0.5000
```

- Crystal system: tetragonal
- Symmetry: P4/mmm, No. 123
- Distance to the lowest polymorph of the same formula: 0 meV per atom
- Density of states at the Fermi level: 6.08 states/eV/cell

# 5
Here is a geometry-optimized RbSb2TeBr structure from Alexandria. Energies are from PBE-GGA.

The structure in POSCAR format:
```
RbSb2TeBr
1.0
-7.0533 -0.6643 -0.1673
0.6143 -6.8997 1.4953
-0.2828 1.3753 6.4624
Sb Br Te Rb
2 1 1 1
direct
0.5000 0.0000 0.0000
0.0000 0.5000 0.0000
0.5000 0.5000 0.5000
0.0000 0.0000 0.5000
0.0000 0.0000 0.0000
```

- Crystal system: tetragonal
- Symmetry: P4/mmm, No. 123
- Distance to the lowest polymorph of the same formula: 828 meV per atom
- Density of states at the Fermi level: 14.03 states/eV/cell

# 6
Here is a geometry-optimized Rb2TlSbBr8 structure from Alexandria. Energies are from PBE-GGA.

The structure in POSCAR format:
```
Rb2TlSbBr8
1.0
5.8874 -2.3156 0.8241
-2.2063 9.5639 -0.4005
1.2071 -0.3138 9.8656
Rb Br Tl Sb
2 8 1 1
direct
0.6728 0.5057 0.7184
0.3272 0.4943 0.2816
0.5297 0.7415 0.9833
0.9927 0.1751 0.8130
0.6105 0.3127 0.4121
0.2061 0.8874 0.7985
0.0073 0.8249 0.1870
0.4703 0.2585 0.0167
0.7939 0.1126 0.2015
0.3895 0.6873 0.5879
0.0000 0.0000 0.5000
0.0000 0.0000 0.0000
```

- Crystal system: triclinic
- Symmetry: P-1, No. 2

# 7
Here is a geometry-optimized RbTl2SbBr6 structure from Alexandria. Energies are from PBE-GGA.

The structure in POSCAR format:
```
RbTl2SbBr6
1.0
-0.4298 0.3845 8.2465
4.5933 -5.0772 4.6311
6.6311 3.2235 4.3469
Sb Br Tl Rb
1 6 2 1
direct
0.3250 0.3248 0.0251
0.1355 0.4140 0.7775
0.5586 0.2184 0.2432
0.4139 0.6732 0.7769
0.9793 0.5597 0.2429
0.2181 0.9797 0.2434
0.6737 0.1346 0.7779
0.5286 0.5281 0.4155
0.0155 0.0156 0.9539
0.8134 0.8136 0.5590
```

- Crystal system: triclinic
- Symmetry: P1, No. 1
- Density of states at the Fermi level: 0.00 states/eV/cell

# 8
Here is a geometry-optimized Rb2VSbBr6 structure from Alexandria. Energies are from PBE-GGA.

The structure in POSCAR format:
```
Rb2VSbBr6
1.0
7.8778 0.0000 0.0000
0.0000 7.8778 0.0000
3.9389 3.9389 5.5842
Rb Br Sb V
2 6 1 1
direct
0.7500 0.2500 0.5000
0.2500 0.7500 0.5000
0.2613 0.2613 0.0000
0.7387 0.7387 0.0000
0.2623 0.2623 0.4755
0.7387 0.2613 0.0000
0.7377 0.7377 0.5245
0.2613 0.7387 0.0000
0.0000 0.0000 0.0000
0.5000 0.5000 0.0000
```

- Crystal system: tetragonal
- Symmetry: I4/mmm, No. 139
- Density of states at the Fermi level: 4.52 states/eV/cell

# 9
Here is a geometry-optimized Rb2SbWBr6 structure from Alexandria. Energies are from PBE-GGA.

The structure in POSCAR format:
```
Rb2SbWBr6
1.0
7.7914 0.0000 0.0000
0.0000 7.7914 0.0000
3.8957 3.8957 6.2221
Br W Rb Sb
6 1 2 1
direct
0.2095 0.2095 0.5809
0.7617 0.7617 0.0000
0.7905 0.7905 0.4191
0.2383 0.7617 0.0000
0.2383 0.2383 0.0000
0.7617 0.2383 0.0000
0.0000 0.0000 0.0000
0.7500 0.2500 0.5000
0.2500 0.7500 0.5000
0.5000 0.5000 0.0000
```

- Crystal system: tetragonal
- Symmetry: I4/mmm, No. 139
- Density of states at the Fermi level: 2.69 states/eV/cell

# 10
Here is a geometry-optimized Rb2YSbBr6 structure from Alexandria. Energies are from PBE-GGA.

The structure in POSCAR format:
```
Rb2YSbBr6
1.0
7.9770 0.0000 0.0000
0.0000 7.9770 0.0000
3.9885 3.9885 6.7779
Br Sb Y Rb
6 1 1 2
direct
0.7473 0.7473 0.0000
0.7062 0.7062 0.5875
0.7473 0.2527 0.0000
0.2527 0.7473 0.0000
0.2938 0.2938 0.4125
0.2527 0.2527 0.0000
0.0000 0.0000 0.0000
0.5000 0.5000 0.0000
0.2500 0.7500 0.5000
0.7500 0.2500 0.5000
```

- Crystal system: tetragonal
- Symmetry: I4/mmm, No. 139
- Density of states at the Fermi level: 0.00 states/eV/cell

# 11
Here is a geometry-optimized RbZn2SbBr8 structure from Alexandria. Energies are from PBE-GGA.

The structure in POSCAR format:
```
RbZn2SbBr8
1.0
-1.3508 2.9442 -6.0385
-6.2237 -0.6219 -2.7991
-5.6273 9.5156 2.0103
Br Sb Rb Zn
8 1 1 2
direct
0.2878 0.9349 0.1599
0.7122 0.0651 0.8401
0.9349 0.6175 0.1599
0.1795 0.1795 0.4614
0.0651 0.3825 0.8401
0.8205 0.8205 0.5386
0.6175 0.2878 0.1599
0.3825 0.7122 0.8401
0.0000 0.0000 0.0000
0.5000 0.5000 0.5000
0.7456 0.7456 0.7631
0.2544 0.2544 0.2369
```

- Crystal system: trigonal
- Symmetry: R-3, No. 148
- Density of states at the Fermi level: 0.00 states/eV/cell

# 12
Here is a geometry-optimized RbZnSbBr6 structure from Alexandria. Energies are from PBE-GGA.

The structure in POSCAR format:
```
RbZnSbBr6
1.0
-6.4020 -3.1899 0.0931
-0.8138 -6.4747 -2.9301
1.7278 -3.2718 6.7516
Br Rb Sb Zn
6 1 1 1
direct
0.6177 0.3632 0.7043
0.0190 0.6178 0.7042
0.0191 0.3632 0.2957
0.3631 0.0191 0.7043
0.6178 0.0190 0.2958
0.3632 0.6177 0.2957
0.0000 0.0000 0.0000
0.6666 0.6667 0.5000
0.3333 0.3333 0.5000
```

- Crystal system: trigonal
- Symmetry: P312, No. 149
- Density of states at the Fermi level: 0.00 states/eV/cell

no.,energy (eV per atom),ΔE_f (raw) (eV/atom)
1,-3.26,-0.926
2,-3.05,-0.902
3,-3.13,-1.350
4,-2.45,0.356
5,-1.62,1.184
6,-2.72,-0.900
7,-2.93,-0.944
8,-3.49,-0.967
9,-3.57,-0.660
10,-3.57,-1.311
11,-2.66,-0.905
12,-2.75,-0.930